A plane-wave DFT calculation with GGA-PBEsol was carried out for a relaxed structure of AlCuS2N.

Properties
- E_form (uncorrected): 0.509 eV per atom
- DOS at the Fermi energy: 4.6 states/eV per cell
- Uncorrected energy: -4.6348 eV per atom

abc: 4.6642 4.6642 3.5873
angles: 90.00 90.00 90.00
Space group P4/mmm (No. 123)
Inequivalent atoms, fractional coordinates:
Al (0.0000, 0.0000, 0.0000) [1 per cell]
Cu (0.5000, 0.5000, 0.5000) [1 per cell]
S (0.0000, 0.5000, 0.0000) [2 per cell]
N (0.0000, 0.0000, 0.5000) [1 per cell]